Ca2ReSi after structural relaxation. Source: the Alexandria database, functional GGA-PBE.

Its density of states at the Fermi level is 0.659 states/eV/atom. Its raw formation energy is 63 kJ per mole of atoms. As for the magnetic moment: 0.000 μB/cell. The value obtained for the density is 5.82 g/cm³.

a = 9.5359 Å, b = 2.7986 Å, c = 6.3215 Å
α = 90.00°, β = 95.36°, γ = 90.00°
Closest atoms and distances in Å follow each position.
Space group C2/m (No. 12)
Inequivalent atoms, fractional coordinates:
Ca1 0.2473 0.0000 0.2508 [4 per cell]  2 Ca 2.80, 3 Re 2.96-3.09, 3 Si 3.01-3.06
Re1 0.0000 0.0000 0.5000 [2 per cell]  2 Re 2.80, 6 Ca 2.96-3.09
Si1 0.0000 0.5000 0.0000 [2 per cell]  2 Si 2.80, 6 Ca 3.01-3.06

=====

LiZnCl after structural relaxation. Source: the Alexandria database, functional GGA-PBE.

Its polymorph energy (0 for the lowest one) is 0.012 kcal/mol of atoms. Its density of states at the Fermi level is 0.010 states/eV/atom. Its raw formation energy is -79 kJ per mole of atoms. As for the magnetic moment: 0.000 μB/cell. The value obtained for the density is 2.29 g/cm³.

a = 13.4201 Å, b = 4.8308 Å, c = 4.8326 Å
α = 90.00°, β = 90.00°, γ = 90.00°
Closest atoms and distances in Å follow each position.
Space group Amm2 (No. 38)
Inequivalent atoms, fractional coordinates:
Li1 0.2490 0.0000 0.0000 [4 per cell]  4 Cl 2.41-2.42
Zn1 0.0000 0.0000 0.1061 [2 per cell]  2 Li 3.38, 4 Zn 3.42
Zn2 0.5000 0.0000 0.9690 [2 per cell]  2 Li 3.37, 4 Zn 3.42
Cl1 0.2496 0.0000 0.5003 [4 per cell]  4 Li 2.41-2.42

=====

Ce6HoSe8 after structural relaxation. Source: the Alexandria database, functional GGA-PBE.

Its density of states at the Fermi level is 2.482 states/eV/atom. Its raw formation energy is -177 kJ per mole of atoms. As for the magnetic moment: 27.328 μB/cell. The value obtained for the density is 6.53 g/cm³.

a = 11.8524 Å, b = 11.8524 Å, c = 11.8524 Å
α = 90.00°, β = 90.00°, γ = 90.00°
Closest atoms and distances in Å follow each position.
Space group Fm-3m (No. 225)
Inequivalent atoms, fractional coordinates:
Ce1 0.0000 0.2500 0.2500 [24 per cell]  6 Se 2.96
Ho1 0.0000 0.0000 0.0000 [4 per cell]  6 Se 2.91
Se1 0.0000 0.0000 0.2454 [24 per cell]  1 Ho 2.91, 4 Ce 2.96
Se2 0.2500 0.2500 0.2500 [8 per cell]  6 Ce 2.96

=====

Pm2MgSb after structural relaxation. Source: the Alexandria database, functional GGA-PBE.

Its polymorph energy (0 for the lowest one) is 3.021 kcal/mol of atoms. Its density of states at the Fermi level is 0.889 states/eV/atom. Its raw formation energy is -44 kJ per mole of atoms. As for the magnetic moment: 0.000 μB/cell. The value obtained for the density is 6.42 g/cm³.

a = 7.6687 Å, b = 7.6687 Å, c = 7.6687 Å
α = 90.00°, β = 90.00°, γ = 90.00°
Closest atoms and distances in Å follow each position.
Space group Fm-3m (No. 225)
Inequivalent atoms, fractional coordinates:
Pm1 0.2500 0.2500 0.2500 [8 per cell]  4 Sb 3.32, 4 Mg 3.32
Mg1 0.0000 0.0000 0.0000 [4 per cell]  8 Pm 3.32
Sb1 0.0000 0.0000 0.5000 [4 per cell]  8 Pm 3.32

=====

Tb2MgAl after structural relaxation. Source: the Alexandria database, functional GGA-PBE.

Its density of states at the Fermi level is 0.666 states/eV/atom. The energy of formation is -256 meV per atom. As for the magnetic moment: 0.000 μB/cell. The value obtained for the density is 6.00 g/cm³.

a = 3.6832 Å, b = 3.6832 Å, c = 7.5335 Å
α = 90.00°, β = 90.00°, γ = 90.00°
Closest atoms and distances in Å follow each position.
Space group P4/mmm (No. 123)
Inequivalent atoms, fractional coordinates:
Tb1 0.0000 0.0000 0.2358 [2 per cell]  4 Al 3.15, 4 Mg 3.28
Mg1 0.5000 0.5000 0.5000 [1 per cell]  8 Tb 3.28
Al1 0.5000 0.5000 0.0000 [1 per cell]  8 Tb 3.15

=====

La2AlCo after structural relaxation. Source: the Alexandria database, functional GGA-PBE.

Its polymorph energy (0 for the lowest one) is 0.000 kcal/mol of atoms. Its density of states at the Fermi level is 0.746 states/eV/atom. The energy of formation is -219 meV per atom. As for the magnetic moment: 0.000 μB/cell. The value obtained for the density is 5.99 g/cm³.

a = 4.3912 Å, b = 4.3912 Å, c = 18.1238 Å
α = 90.00°, β = 90.00°, γ = 120.00°
Closest atoms and distances in Å follow each position.
Space group R3m (No. 160, hexagonal axes)
Inequivalent atoms, fractional coordinates:
La1 0.0000 0.0000 0.0000 [3 per cell]  3 Co 3.01, 3 Al 3.08
La2 0.0000 0.0000 0.1908 [3 per cell]  3 Al 3.06, 3 Co 3.13
Al1 0.0000 0.0000 0.7632 [3 per cell]  3 Co 2.54
Co1 0.0000 0.0000 0.4227 [3 per cell]  3 Al 2.54

=====

Tb2NdDy6Ho3 after structural relaxation. Source: the Alexandria database, functional GGA-PBE.

Its density of states at the Fermi level is 1.287 states/eV/atom. The energy of formation is 16 meV per atom. As for the magnetic moment: 0.000 μB/cell. The value obtained for the density is 8.45 g/cm³.

a = 6.1513 Å, b = 10.6467 Å, c = 11.7686 Å
α = 90.00°, β = 99.99°, γ = 90.00°
Closest atoms and distances in Å follow each position.
Space group C2/m (No. 12)
Inequivalent atoms, fractional coordinates:
Tb1 0.0000 0.1667 0.0000 [4 per cell]  3 Tb 3.55, 3 Nd 3.55, 6 Dy 3.57
Nd1 0.0000 0.5000 0.0000 [2 per cell]  6 Tb 3.55, 6 Dy 3.57
Dy1 0.2488 0.1669 0.7478 [8 per cell]  3 Ho 3.53, 6 Dy 3.55-3.56, 2 Tb 3.57, 1 Nd 3.57
Dy2 0.2504 0.0000 0.2522 [4 per cell]  3 Ho 3.53, 6 Dy 3.55-3.56, 2 Tb 3.57, 1 Nd 3.57
Ho1 0.0000 0.0000 0.5000 [2 per cell]  6 Dy 3.53, 6 Ho 3.55
Ho2 0.0000 0.3331 0.5000 [4 per cell]  6 Dy 3.53, 6 Ho 3.55

=====

Sr4Cu after structural relaxation. Source: the Alexandria database, functional GGA-PBE.

Its polymorph energy (0 for the lowest one) is 1.146 kcal/mol of atoms. Its density of states at the Fermi level is 1.246 states/eV/atom. The energy of formation is 34 meV per atom. As for the magnetic moment: 0.000 μB/cell. The value obtained for the density is 3.22 g/cm³.

a = 10.3482 Å, b = 10.3482 Å, c = 3.9893 Å
α = 90.00°, β = 90.00°, γ = 90.00°
Closest atoms and distances in Å follow each position.
Space group I4/m (No. 87)
Inequivalent atoms, fractional coordinates:
Sr1 0.0653 0.2528 0.0000 [8 per cell]  2 Cu 3.36
Cu1 0.0000 0.0000 0.5000 [2 per cell]  8 Sr 3.36

=====

Rb3SmCl6 after structural relaxation. Source: the Alexandria database, functional GGA-PBE.

Its density of states at the Fermi level is 0.000 states/eV/atom. Its raw formation energy is -206 kJ per mole of atoms. As for the magnetic moment: 0.001 μB/cell. The value obtained for the density is 2.93 g/cm³.

a = 26.1196 Å, b = 8.1463 Å, c = 13.3623 Å
α = 90.00°, β = 99.24°, γ = 90.00°
Closest atoms and distances in Å follow each position.
Space group C2/c (No. 15)
Inequivalent atoms, fractional coordinates:
Rb1 0.0584 0.2278 0.4471 [8 per cell]  6 Cl 3.41-3.57
Rb2 0.1529 0.3193 0.1463 [8 per cell]  7 Cl 3.28-3.60
Rb3 0.1652 0.1866 0.8098 [8 per cell]  7 Cl 3.34-3.67
Sm1 0.0000 0.1925 0.7500 [4 per cell]  6 Cl 2.70-2.72
Sm2 0.2500 0.2500 0.5000 [4 per cell]  6 Cl 2.71-2.74
Cl1 0.0525 0.2021 0.9416 [8 per cell]  1 Sm 2.70
Cl2 0.0652 0.0554 0.2174 [8 per cell]  1 Sm 2.72
Cl3 0.0649 0.4085 0.6804 [8 per cell]  1 Sm 2.71
Cl4 0.1691 0.4522 0.4288 [8 per cell]  1 Sm 2.73
Cl5 0.1783 0.0234 0.5319 [8 per cell]  1 Sm 2.71
Cl6 0.2500 0.1200 0.3112 [8 per cell]  1 Sm 2.74

=====

ZrPtW2 after structural relaxation. Source: the Alexandria database, functional GGA-PBE.

Its polymorph energy (0 for the lowest one) is 7.479 kcal/mol of atoms. Its density of states at the Fermi level is 1.249 states/eV/atom. The energy of formation is 153 meV per atom. As for the magnetic moment: 0.000 μB/cell. The value obtained for the density is 15.57 g/cm³.

a = 3.4102 Å, b = 3.4102 Å, c = 5.9975 Å
α = 90.00°, β = 90.00°, γ = 90.00°
Closest atoms and distances in Å follow each position.
Space group P4/mmm (No. 123)
Inequivalent atoms, fractional coordinates:
Zr1 0.0000 0.0000 0.0000 [1 per cell]  8 W 2.90, 2 Pt 3.00
Pt1 0.0000 0.0000 0.5000 [1 per cell]  8 W 2.78, 2 Zr 3.00
W1 0.5000 0.5000 0.2689 [2 per cell]  1 W 2.77, 4 Pt 2.78, 4 Zr 2.90

=====

TbNd3Sm4Te8 after structural relaxation. Source: the Alexandria database, functional GGA-PBE.

Its density of states at the Fermi level is 0.799 states/eV/atom. Its raw formation energy is -133 kJ per mole of atoms. As for the magnetic moment: 0.000 μB/cell. The value obtained for the density is 7.34 g/cm³.

a = 15.4175 Å, b = 8.9300 Å, c = 8.8978 Å
α = 90.00°, β = 125.15°, γ = 90.00°
Closest atoms and distances in Å follow each position.
Space group C2/m (No. 12)
Inequivalent atoms, fractional coordinates:
Tb1 0.0000 0.0000 0.0000 [2 per cell]  6 Te 3.12
Nd1 0.0000 0.5000 0.0000 [2 per cell]  6 Te 3.17
Nd2 0.2500 0.2500 0.5000 [4 per cell]  6 Te 3.17
Sm1 0.0000 0.0000 0.5000 [2 per cell]  6 Te 3.13
Sm2 0.0000 0.5000 0.5000 [2 per cell]  6 Te 3.18
Sm3 0.2500 0.2500 0.0000 [4 per cell]  6 Te 3.13
Te1 0.0015 0.2464 0.7522 [8 per cell]  1 Tb 3.12, 3 Sm 3.13-3.18, 2 Nd 3.17
Te2 0.2479 0.0000 0.2449 [4 per cell]  1 Tb 3.12, 3 Sm 3.13-3.18, 2 Nd 3.17
Te3 0.2485 0.0000 0.7514 [4 per cell]  3 Sm 3.13, 3 Nd 3.17

=====

Q: Which formula does entry 2 have?
A: LiZnCl